Below is an optimized crystal structure of ScMn2Br, with properties calculated at the PBE level.

Lattice parameters (Å, degrees): 3.554 3.546 5.763 90.00 90.00 90.00
Site moments in Bohr magnetons follow the coordinates.
Positions (direct):
Mn 0.000 0.000 0.479  3.30
Mn 0.000 0.000 0.021  3.30
Br 0.500 0.500 0.750  0.05
Sc 0.500 0.500 0.250  -0.53

## Properties
* total energy: -6.3822 eV/atom
* formation energy (no corrections): 204 meV/atom
* crystal system: tetragonal
* E above lowest polymorph: 307 meV/atom
* total moment: 1.537 μB/atom